A plane-wave DFT calculation with GGA-PBE was carried out for a relaxed Zn3HCl crystal.

```
Zn3HCl
1.0
4.3517 0.0000 0.0000
0.0000 4.3517 0.0000
0.0000 0.0000 4.3517
Zn H Cl
3 1 1
direct
0.5000 0.0000 0.0000
0.0000 0.0000 0.5000
0.0000 0.5000 0.0000
0.0000 0.0000 0.0000
0.5000 0.5000 0.5000
```

The value obtained for the uncorrected energy is -7.5 eV for the cell shown. The value obtained for the relative energy among the computed polymorphs is 0.000 eV/atom.